The following is a GGA-PBE calculation of an optimized crystal structure of HfS2ClF, from the Alexandria database.

Offset from the most stable computed form in kcal/mol of atoms: 20.17
E_form (uncorrected) in eV/atom: 0.125
Density of states at the Fermi level in states/eV/f.u.: 3.979
Calculated density in g cm⁻³: 5.72

The structure in CIF format:
```
data_HfS2ClF
_chemical_formula_sum 'Hf1 S2 Cl1 F1'
_cell_length_a 4.218
_cell_length_b 4.218
_cell_length_c 4.845
_cell_angle_alpha 90.00
_cell_angle_beta 90.00
_cell_angle_gamma 90.00
_space_group_name_H-M_alt 'P 4/m m m'
_space_group_IT_number 123
_space_group_name_Hall '-P 4 2'
loop_
_atom_site_label
_atom_site_type_symbol
_atom_site_fract_x
_atom_site_fract_y
_atom_site_fract_z
Hf1 Hf 0.000 0.000 0.000
S1 S 0.000 0.500 0.500
Cl1 Cl 0.500 0.500 0.000
F1 F 0.500 0.500 0.500
```


The following is a GGA-PBE calculation of an optimized crystal structure of HfSCl2F, from the Alexandria database.

Offset from the most stable computed form in kcal/mol of atoms: 0.00
E_form (uncorrected) in eV/atom: -1.114
Density of states at the Fermi level in states/eV/f.u.: 4.618
Calculated density in g cm⁻³: 4.18

The structure in CIF format:
```
data_HfSCl2F
_chemical_formula_sum 'Hf1 S1 Cl2 F1'
_cell_length_a 4.925
_cell_length_b 4.925
_cell_length_c 4.924
_cell_angle_alpha 90.00
_cell_angle_beta 90.00
_cell_angle_gamma 90.00
_space_group_name_H-M_alt 'P 4/m m m'
_space_group_IT_number 123
_space_group_name_Hall '-P 4 2'
loop_
_atom_site_label
_atom_site_type_symbol
_atom_site_fract_x
_atom_site_fract_y
_atom_site_fract_z
Hf1 Hf 0.000 0.000 0.000
S1 S 0.000 0.000 0.500
Cl1 Cl 0.000 0.500 0.000
F1 F 0.500 0.500 0.500
```


The following is a GGA-PBE calculation of an optimized crystal structure of HfSCl2F, from the Alexandria database.

Offset from the most stable computed form in kcal/mol of atoms: 24.30
E_form (uncorrected) in eV/atom: -0.060
Density of states at the Fermi level in states/eV/f.u.: 2.073
Calculated density in g cm⁻³: 5.50

The structure in CIF format:
```
data_HfSCl2F
_chemical_formula_sum 'Hf1 S1 Cl2 F1'
_cell_length_a 4.971
_cell_length_b 4.971
_cell_length_c 3.667
_cell_angle_alpha 90.00
_cell_angle_beta 90.00
_cell_angle_gamma 90.00
_space_group_name_H-M_alt 'P 4/m m m'
_space_group_IT_number 123
_space_group_name_Hall '-P 4 2'
loop_
_atom_site_label
_atom_site_type_symbol
_atom_site_fract_x
_atom_site_fract_y
_atom_site_fract_z
Hf1 Hf 0.000 0.000 0.000
S1 S 0.500 0.500 0.000
Cl1 Cl 0.000 0.500 0.500
F1 F 0.500 0.500 0.500
```


The following is a GGA-PBE calculation of an optimized crystal structure of HfS2ClF, from the Alexandria database.

Offset from the most stable computed form in kcal/mol of atoms: 0.00
E_form (uncorrected) in eV/atom: -0.750
Density of states at the Fermi level in states/eV/f.u.: 5.172
Calculated density in g cm⁻³: 4.11

The structure in CIF format:
```
data_HfS2ClF
_chemical_formula_sum 'Hf1 S2 Cl1 F1'
_cell_length_a 4.932
_cell_length_b 4.932
_cell_length_c 4.929
_cell_angle_alpha 90.00
_cell_angle_beta 90.00
_cell_angle_gamma 90.00
_space_group_name_H-M_alt 'P 4/m m m'
_space_group_IT_number 123
_space_group_name_Hall '-P 4 2'
loop_
_atom_site_label
_atom_site_type_symbol
_atom_site_fract_x
_atom_site_fract_y
_atom_site_fract_z
Hf1 Hf 0.000 0.000 0.000
S1 S 0.000 0.500 0.000
Cl1 Cl 0.000 0.000 0.500
F1 F 0.500 0.500 0.500
```


The following is a GGA-PBE calculation of an optimized crystal structure of HfTc2ClF, from the Alexandria database.

E_form (uncorrected) in eV/atom: 0.980
Density of states at the Fermi level in states/eV/f.u.: 3.516
Calculated density in g cm⁻³: 5.70

The structure in CIF format:
```
data_HfTc2ClF
_chemical_formula_sum 'Hf1 Tc2 Cl1 F1'
_cell_length_a 5.044
_cell_length_b 5.044
_cell_length_c 4.910
_cell_angle_alpha 90.00
_cell_angle_beta 90.00
_cell_angle_gamma 90.00
_space_group_name_H-M_alt 'P 4/m m m'
_space_group_IT_number 123
_space_group_name_Hall '-P 4 2'
loop_
_atom_site_label
_atom_site_type_symbol
_atom_site_fract_x
_atom_site_fract_y
_atom_site_fract_z
Hf1 Hf 0.000 0.000 0.000
Tc1 Tc 0.000 0.500 0.000
Cl1 Cl 0.000 0.000 0.500
F1 F 0.500 0.500 0.500
```


The following is a GGA-PBE calculation of an optimized crystal structure of HfTl2Cl4F2, from the Alexandria database.

E_form (uncorrected) in eV/atom: -2.025
Density of states at the Fermi level in states/eV/f.u.: 0.000
Calculated density in g cm⁻³: 5.37

The structure in CIF format:
```
data_HfTl2Cl4F2
_chemical_formula_sum 'Hf2 Tl4 Cl8 F4'
_cell_length_a 11.529
_cell_length_b 7.320
_cell_length_c 5.738
_cell_angle_alpha 90.00
_cell_angle_beta 101.41
_cell_angle_gamma 90.00
_space_group_name_H-M_alt 'C 1 2/m 1'
_space_group_IT_number 12
_space_group_name_Hall '-C 2y'
loop_
_atom_site_label
_atom_site_type_symbol
_atom_site_fract_x
_atom_site_fract_y
_atom_site_fract_z
Hf1 Hf 0.000 0.000 0.000
Tl1 Tl 0.183 0.500 0.298
Cl1 Cl 0.099 0.244 0.808
F1 F 0.136 0.000 0.271
```